# Zn2HgH

A relaxed Zn2HgH crystal (PBE-GGA, Alexandria).

Structure (POSCAR):
```
Zn2HgH
1.0
-2.442 2.442 5.590
2.442 -2.442 5.590
2.442 2.442 -5.590
Zn Hg H
4 2 2
direct
0.375 0.202 0.327
0.798 0.125 0.173
0.875 0.048 0.673
0.952 0.625 0.827
0.250 0.750 0.500
0.500 0.500 0.000
0.000 0.000 0.000
0.750 0.250 0.500
```

The density is 8.28 g cm⁻³. Its space group is I-42d, No. 122. The energy above the most stable polymorph in this dataset is 0.000 eV/atom. The total energy is -1.28 eV per atom.

# Hf2ScAlRu4

A relaxed Hf2ScAlRu4 crystal (PBE-GGA, Alexandria).

Structure (POSCAR):
```
Hf2ScAlRu4
1.0
2.249 1.298 7.318
-2.249 1.298 7.318
0.000 -2.597 7.318
Hf Sc Al Ru
2 1 1 4
direct
0.247 0.247 0.247
0.753 0.753 0.753
0.000 0.000 0.000
0.500 0.500 0.500
0.126 0.126 0.126
0.377 0.377 0.377
0.623 0.623 0.623
0.874 0.874 0.874
```

The density is 10.79 g cm⁻³. Its space group is R-3m, No. 166. As for the formation enthalpy at 0 K: -5.882 eV/f.u. The total energy is -9.12 eV per atom.

# Mg2C

A relaxed Mg2C crystal (PBE-GGA, Alexandria).

Structure (POSCAR):
```
Mg2C
1.0
1.556 -5.158 0.000
1.556 5.158 0.000
0.000 0.000 5.462
Mg C
4 2
direct
0.004 0.996 0.500
0.255 0.745 0.862
0.745 0.255 0.362
0.996 0.004 0.000
0.384 0.616 0.226
0.616 0.384 0.726
```

The density is 2.30 g cm⁻³. Its space group is Cmc2_1, No. 36. The energy above the most stable polymorph in this dataset is 0.266 eV/atom. As for the formation enthalpy at 0 K: 1.546 eV/f.u. The total energy is -3.62 eV per atom.

# Tm8P3Pb4S

A relaxed Tm8P3Pb4S crystal (PBE-GGA, Alexandria).

Structure (POSCAR):
```
Tm8P3Pb4S
1.0
6.692 -3.857 0.000
6.692 3.857 0.000
-4.457 0.000 7.784
Tm P Pb S
8 3 4 1
direct
0.230 0.733 0.697
0.232 0.232 0.697
0.267 0.267 0.303
0.267 0.770 0.303
0.733 0.230 0.697
0.733 0.733 0.697
0.768 0.768 0.303
0.770 0.267 0.303
0.000 0.000 0.500
0.000 0.500 0.500
0.500 0.000 0.500
0.000 0.000 0.000
0.000 0.500 0.000
0.500 0.000 0.000
0.500 0.500 0.000
0.500 0.500 0.500
```

The density is 9.53 g cm⁻³. For the formation energy (no corrections), the calculation gives -104.02 kJ per mole of atoms. Its space group is C2/m, No. 12. The total energy is -5.51 eV per atom.

# PaIn6Ag

A relaxed PaIn6Ag crystal (PBE-GGA, Alexandria).

Structure (POSCAR):
```
PaIn6Ag
1.0
3.872 -5.384 0.000
3.872 5.384 0.000
0.000 0.000 4.776
Pa In Ag
1 6 1
direct
0.000 0.000 0.000
0.000 0.500 0.000
0.211 0.789 0.500
0.296 0.296 0.500
0.500 0.000 0.000
0.704 0.704 0.500
0.789 0.211 0.500
0.500 0.500 0.000
```

The density is 8.57 g cm⁻³. Its space group is Cmmm, No. 65. As for the formation enthalpy at 0 K: 0.072 eV/f.u. The total energy is -3.59 eV per atom.

# CuSi2As

A relaxed CuSi2As crystal (PBE-GGA, Alexandria).

Structure (POSCAR):
```
CuSi2As
1.0
0.000 2.644 4.661
2.503 0.000 4.661
2.503 2.644 0.000
Cu Si As
1 2 1
direct
0.000 0.000 0.000
0.000 0.500 0.500
0.500 0.000 0.000
0.500 0.500 0.500
```

The density is 5.24 g cm⁻³. For the formation energy (no corrections), the calculation gives 21.82 kJ per mole of atoms. Its space group is Fmmm, No. 69. The energy above the most stable polymorph in this dataset is 0.018 eV/atom. The total energy is -4.67 eV per atom.

# NdCo2

A relaxed NdCo2 crystal (PBE-GGA, Alexandria).

Structure (POSCAR):
```
NdCo2
1.0
-1.610 1.610 5.119
1.610 -1.610 5.119
1.610 1.610 -5.119
Nd Co
1 2
direct
0.000 0.000 0.000
0.289 0.289 0.000
0.711 0.711 0.000
```

The density is 8.20 g cm⁻³. Its space group is I4/mmm, No. 139. As for the formation enthalpy at 0 K: 0.639 eV/f.u. The total energy is -6.11 eV per atom.

# TaTc5

A relaxed TaTc5 crystal (PBE-GGA, Alexandria).

Structure (POSCAR):
```
TaTc5
1.0
5.019 0.000 0.000
-2.510 4.347 0.000
0.000 0.000 4.502
Ta Tc
1 5
direct
0.000 0.000 0.000
0.000 0.500 0.500
0.333 0.667 0.000
0.500 0.000 0.500
0.500 0.500 0.500
0.667 0.333 0.000
```

The density is 11.34 g cm⁻³. Its space group is P6/mmm, No. 191. The energy above the most stable polymorph in this dataset is 0.316 eV/atom. As for the formation enthalpy at 0 K: 1.886 eV/f.u. The total energy is -10.30 eV per atom.

Number 1: magnetic moment 0.0 μB per formula unit. Number 2: magnetic moment 0.0 μB per formula unit. Number 3: magnetic moment 0.0 μB per formula unit. Number 4: magnetic moment 0.0 μB per formula unit. Number 5: magnetic moment 0.8 μB per formula unit. Number 6: magnetic moment 0.0 μB per formula unit. Number 7: magnetic moment 3.0 μB per formula unit. Number 8: magnetic moment 0.0 μB per formula unit.